Record 1
Compound: Mg5Au3
Source: Alexandria via LeMat-Bulk
Functional: PBEsol
Structure: relaxed

Structure (extended XYZ):
```
8
Lattice="-3.1594 -0.9479 -3.0330 2.3885 -5.1982 -0.8635 -3.8415 -0.7999 4.2515" Properties=species:S:1:pos:R:3 pbc="T T T"
Mg -1.9919 -2.1759 -0.5552
Au -4.0957 -2.2096 1.6468
Au -0.5166 -4.7364 -1.2918
Mg 0.0000 0.0000 0.0000
Mg -2.6203 -4.7701 0.9101
Au -0.7265 -2.9990 1.6940
Mg 1.1943 -2.5991 -0.4318
Mg -1.9207 -0.3999 2.1257
```

Properties
Total energy (Ha/atom): -0.1115
Calculated volume (A^3/atom): 18.106
Formation energy from the elements (meV/atom): -489

=====

Record 2
Compound: SrFe2Se
Source: Alexandria via LeMat-Bulk
Functional: PBEsol
Structure: relaxed

Structure (extended XYZ):
```
4
Lattice="4.0108 0.0000 0.0000 0.0000 4.0108 0.0000 0.0000 0.0000 4.8540" Properties=species:S:1:pos:R:3 pbc="T T T"
Sr 0.0000 0.0000 2.4270
Fe 0.0000 2.0054 0.0000
Fe 2.0054 0.0000 0.0000
Se 2.0054 2.0054 2.4270
```

Properties
Total energy (Ha/atom): -0.2035
Calculated volume (A^3/atom): 19.521

=====

Which formula does entry 1 have? Mg5Au3

=====

The lowest total energy belongs to which entry? SrFe2Se

=====

Among the records above, which one has the highest calculated volume? SrFe2Se

=====

Among the records above, which one has the lowest total energy? SrFe2Se